No. 1
Material: AcAs2Pb
Method: DFT, PBE
State: optimized geometry

abc: 4.555 4.555 21.126
angles: 90.00 90.00 120.00
Positions (direct):
Ac 0.000 0.000 0.000
Ac 0.333 0.667 0.667
Ac 0.667 0.333 0.333
As 0.000 0.000 0.416
As 0.000 0.000 0.582
As 0.333 0.667 0.083
As 0.333 0.667 0.248
As 0.667 0.333 0.750
As 0.667 0.333 0.915
Pb 0.000 0.000 0.174
Pb 0.333 0.667 0.840
Pb 0.667 0.333 0.507

Space group   No. 160
Energy above the lowest structure with this stoichiometry   0.069 eV/atom
Density   7.666 g cm⁻³
Energy of formation   -0.541 eV/atom
D(E_F)   11.09 states/eV/cell

---

No. 2
Material: La3Pr6Dy2
Method: DFT, PBE
State: optimized geometry

abc: 6.369 6.405 9.807
angles: 83.58 89.84 80.32
Positions (direct):
La 0.000 0.000 0.000
La 0.183 0.911 0.362
La 0.817 0.089 0.638
Pr 0.092 0.457 0.179
Pr 0.273 0.364 0.548
Pr 0.364 0.815 0.732
Pr 0.636 0.185 0.268
Pr 0.727 0.636 0.452
Pr 0.908 0.543 0.821
Dy 0.454 0.272 0.911
Dy 0.546 0.728 0.089

Space group   No. 2
Energy above the lowest structure with this stoichiometry   0.000 eV/atom
Density   6.726 g cm⁻³
Energy of formation   0.016 eV/atom
D(E_F)   18.58 states/eV/cell

---

No. 3
Material: KNa2HgAu
Method: DFT, PBE
State: optimized geometry

abc: 5.643 5.643 6.263
angles: 90.00 90.00 90.00
Positions (direct):
K 0.000 0.000 0.000
Na 0.000 0.500 0.500
Na 0.500 0.000 0.500
Hg 0.500 0.500 0.000
Au 0.000 0.000 0.500

Space group   No. 123
Energy above the lowest structure with this stoichiometry   0.082 eV/atom
Density   4.019 g cm⁻³
Energy of formation   -0.095 eV/atom
D(E_F)   3.61 states/eV/cell

---

No. 4
Material: SrBi2Se2
Method: DFT, PBE
State: optimized geometry

abc: 8.404 8.404 4.421
angles: 90.00 90.00 90.00
Positions (direct):
Sr 0.000 0.000 0.000
Sr 0.500 0.500 0.000
Bi 0.189 0.311 0.500
Bi 0.311 0.811 0.500
Bi 0.689 0.189 0.500
Bi 0.811 0.689 0.500
Se 0.161 0.661 0.000
Se 0.339 0.161 0.000
Se 0.661 0.839 0.000
Se 0.839 0.339 0.000

Space group   No. 127
Energy above the lowest structure with this stoichiometry   0.000 eV/atom
Density   7.058 g cm⁻³
Formation energy without anion corrections   -0.593 eV per atom
D(E_F)   3.98 states/eV/cell

---

No. 5
Material: PmHoTm2Tl2
Method: DFT, PBE
State: optimized geometry

abc: 5.098 9.965 6.786
angles: 90.00 90.00 90.00
Positions (direct):
Pm 0.000 0.041 0.000
Pm 0.000 0.959 0.500
Ho 0.500 0.192 0.721
Ho 0.500 0.808 0.221
Tm 0.000 0.318 0.377
Tm 0.000 0.682 0.877
Tm 0.500 0.457 0.092
Tm 0.500 0.543 0.592
Tl 0.000 0.369 0.838
Tl 0.000 0.631 0.338
Tl 0.500 0.140 0.260
Tl 0.500 0.860 0.760

Space group   No. 26
Density   10.178 g cm⁻³
Energy of formation   -0.260 eV/atom
D(E_F)   11.54 states/eV/cell

---

No. 6
Material: Ce4Te3N2
Method: DFT, PBE
State: optimized geometry

abc: 7.304 7.304 9.354
angles: 118.85 118.85 32.86
Positions (direct):
Ce 0.125 0.125 0.415
Ce 0.310 0.310 0.872
Ce 0.690 0.690 0.128
Ce 0.875 0.875 0.585
Te 0.000 0.000 0.000
Te 0.390 0.390 0.283
Te 0.610 0.610 0.717
N 0.306 0.306 0.633
N 0.694 0.694 0.367

Space group   No. 12
Energy above the lowest structure with this stoichiometry   0.010 eV/atom
Density   6.893 g cm⁻³
Formation energy without anion corrections   -1.488 eV per atom
D(E_F)   22.17 states/eV/cell

---

No. 7
Material: ThSc4Au5
Method: DFT, PBE
State: optimized geometry

abc: 3.416 3.416 17.802
angles: 90.00 90.00 90.00
Positions (direct):
Th 0.000 0.000 0.000
Sc 0.000 0.000 0.214
Sc 0.000 0.000 0.405
Sc 0.000 0.000 0.595
Sc 0.000 0.000 0.786
Au 0.500 0.500 0.124
Au 0.500 0.500 0.308
Au 0.500 0.500 0.500
Au 0.500 0.500 0.692
Au 0.500 0.500 0.876

Space group   No. 123
Density   11.168 g cm⁻³
Energy of formation   -0.763 eV/atom
D(E_F)   5.61 states/eV/cell

---

No. 8
Material: Ba2SrTa
Method: DFT, PBE
State: optimized geometry

abc: 5.479 5.500 5.530
angles: 90.00 90.00 90.00
Positions (direct):
Ba 0.000 0.000 0.000
Ba 0.000 0.500 0.500
Sr 0.500 0.000 0.500
Ta 0.500 0.500 0.000

Space group   No. 47
Energy above the lowest structure with this stoichiometry   0.162 eV/atom
Density   5.413 g cm⁻³
Energy of formation   0.992 eV/atom
D(E_F)   5.82 states/eV/cell

---

Which value of density does entry 2 give? 6.726 g cm⁻³